(1)
First-principles (PBE) data for a relaxed structure of Pu4Si2N, as listed in the Alexandria database.

extended XYZ file:
```
14
Lattice="4.603 0.000 0.000 0.000 4.603 0.000 0.000 0.000 14.916" Properties=species:S:1:pos:R:3 pbc="T T T"
Pu 0.000 0.000 2.623
Pu 0.000 0.000 12.293
Pu 0.000 2.301 0.000
Pu 0.000 2.301 7.458
Pu 2.301 0.000 0.000
Pu 2.301 0.000 7.458
Pu 2.301 2.301 4.835
Pu 2.301 2.301 10.081
Si 0.000 0.000 5.488
Si 0.000 0.000 9.428
Si 2.301 2.301 1.970
Si 2.301 2.301 12.947
N 0.000 0.000 7.458
N 2.301 2.301 0.000
```

D(E_F)	57.6	states/eV per cell
crystal system	tetragonal
SG	I4/mmm
uncorrected energy	-11.160	eV per atom

=====

(2)
First-principles (PBE) data for a relaxed structure of Pa8PtRh5, as listed in the Alexandria database.

extended XYZ file:
```
14
Lattice="-4.272 4.272 4.278 4.272 -4.272 4.278 4.272 4.272 -4.278" Properties=species:S:1:pos:R:3 pbc="T T T"
Pa 4.893 -2.633 2.651
Pa 3.903 1.448 -0.610
Pa 1.639 -0.621 1.628
Pa 6.905 0.621 1.628
Pa 2.824 -0.369 4.888
Pa 1.448 4.641 0.610
Pa 3.651 2.633 2.651
Pa 0.369 2.824 3.668
Pt 0.000 0.000 4.278
Rh 6.565 1.116 -1.087
Rh 4.272 0.000 2.139
Rh 1.116 1.979 1.087
Rh -2.293 3.156 3.191
Rh 3.156 2.293 5.365
```

D(E_F)	26.2	states/eV per cell
crystal system	tetragonal
SG	I-4
uncorrected energy	-9.049	eV per atom

=====

(3)
First-principles (PBE) data for a relaxed structure of NdHg2Pb3, as listed in the Alexandria database.

extended XYZ file:
```
12
Lattice="3.307 -5.601 0.000 3.307 5.601 0.000 -0.391 0.000 9.292" Properties=species:S:1:pos:R:3 pbc="T T T"
Nd 3.014 4.562 6.969
Nd 3.209 -4.562 2.323
Hg 0.944 1.430 8.710
Hg 1.140 -1.430 4.064
Hg 5.083 1.430 5.228
Hg 5.279 -1.430 0.582
Pb 1.804 1.525 5.632
Pb 3.209 1.490 2.323
Pb 2.000 -1.525 0.986
Pb 4.223 1.525 8.305
Pb 3.014 -1.490 6.969
Pb 4.419 -1.525 3.659
```

D(E_F)	6.3	states/eV per cell
crystal system	monoclinic
SG	C2/c
uncorrected energy	-2.956	eV per atom

=====

(4)
First-principles (PBE) data for a relaxed structure of PmPr2HoSc, as listed in the Alexandria database.

extended XYZ file:
```
10
Lattice="4.149 -5.739 0.000 4.149 5.739 0.000 0.000 0.000 7.246" Properties=species:S:1:pos:R:3 pbc="T T T"
Pm 4.149 3.123 5.434
Pm 4.149 -3.123 1.811
Pr 1.659 0.000 0.000
Pr 1.659 0.000 3.623
Pr 6.638 0.000 0.000
Pr 6.638 0.000 3.623
Ho 4.149 2.948 1.811
Ho 4.149 -2.948 5.434
Sc 4.149 0.136 5.434
Sc 4.149 -0.136 1.811
```

D(E_F)	13.2	states/eV per cell
crystal system	orthorhombic
SG	Cmcm
uncorrected energy	-4.687	eV per atom

=====

(5)
First-principles (PBE) data for a relaxed structure of Cr2ReSb, as listed in the Alexandria database.

extended XYZ file:
```
12
Lattice="2.995 0.000 0.000 -1.498 2.594 0.000 0.000 0.000 24.116" Properties=species:S:1:pos:R:3 pbc="T T T"
Cr 0.000 0.000 5.857
Cr 0.000 0.000 18.259
Cr 0.000 1.729 10.221
Cr 0.000 1.729 21.935
Cr 1.498 0.865 2.182
Cr 1.498 0.865 13.896
Re 0.000 0.000 12.058
Re 0.000 1.729 4.019
Re 1.498 0.865 20.097
Sb 0.000 0.000 0.000
Sb 0.000 1.729 16.078
Sb 1.498 0.865 8.039
```

D(E_F)	13.3	states/eV per cell
crystal system	trigonal
SG	R-3m
uncorrected energy	-8.442	eV per atom

=====

(6)
First-principles (PBE) data for a relaxed structure of CsBaP, as listed in the Alexandria database.

extended XYZ file:
```
3
Lattice="5.079 0.000 0.000 -2.540 4.399 0.000 0.000 0.000 7.071" Properties=species:S:1:pos:R:3 pbc="T T T"
Cs 0.000 0.000 0.000
Ba 2.540 1.466 3.158
P 0.000 2.932 2.100
```

D(E_F)	4.5	states/eV per cell
crystal system	trigonal
SG	P3m1
uncorrected energy	-3.229	eV per atom

=====

(7)
First-principles (PBE) data for a relaxed structure of Ba2SrMg2Sn2, as listed in the Alexandria database.

extended XYZ file:
```
7
Lattice="2.566 1.481 10.503 -2.566 1.481 10.503 0.000 -2.963 10.503" Properties=species:S:1:pos:R:3 pbc="T T T"
Ba 0.000 0.000 4.171
Ba 0.000 0.000 27.338
Sr 0.000 0.000 0.000
Mg 0.000 0.000 12.649
Mg 0.000 0.000 18.860
Sn 0.000 0.000 8.404
Sn 0.000 0.000 23.105
```

D(E_F)	3.0	states/eV per cell
crystal system	trigonal
SG	R-3m
uncorrected energy	-2.794	eV per atom

=====

(8)
First-principles (PBE) data for a relaxed structure of Ce6Ir2OsBr3, as listed in the Alexandria database.

extended XYZ file:
```
12
Lattice="9.672 -2.049 0.000 9.672 2.049 0.000 -3.145 0.000 8.423" Properties=species:S:1:pos:R:3 pbc="T T T"
Ce -0.480 0.000 1.827
Ce 4.823 0.000 3.762
Ce 3.913 0.000 7.497
Ce 12.286 0.000 0.925
Ce 11.376 0.000 4.660
Ce 16.679 0.000 6.595
Ir 2.177 0.000 2.807
Ir 14.022 0.000 5.616
Os 9.672 0.000 0.000
Br 0.604 0.000 7.017
Br 8.100 0.000 4.211
Br 15.595 0.000 1.405
```

D(E_F)	33.2	states/eV per cell
crystal system	monoclinic
SG	C2/m
uncorrected energy	-6.756	eV per atom

=====

(9)
First-principles (PBE) data for a relaxed structure of LaSi3Pt3, as listed in the Alexandria database.

extended XYZ file:
```
14
Lattice="6.636 0.000 0.000 0.000 6.636 0.000 0.000 0.000 6.636" Properties=species:S:1:pos:R:3 pbc="T T T"
La 0.000 0.000 0.000
La 3.318 3.318 3.318
Si 0.000 1.659 3.318
Si 0.000 4.977 3.318
Si 1.659 3.318 0.000
Si 3.318 0.000 1.659
Si 3.318 0.000 4.977
Si 4.977 3.318 0.000
Pt 0.000 3.318 1.659
Pt 0.000 3.318 4.977
Pt 1.659 0.000 3.318
Pt 3.318 1.659 0.000
Pt 3.318 4.977 0.000
Pt 4.977 0.000 3.318
```

D(E_F)	9.1	states/eV per cell
crystal system	cubic
SG	Pm-3n
uncorrected energy	-6.394	eV per atom

=====

(10)
First-principles (PBE) data for a relaxed structure of Tb4NdDy2, as listed in the Alexandria database.

extended XYZ file:
```
14
Lattice="16.750 0.000 0.000 0.000 3.542 0.000 -4.300 0.000 7.647" Properties=species:S:1:pos:R:3 pbc="T T T"
Tb 0.929 0.000 2.559
Tb 0.026 0.000 6.073
Tb 4.049 1.771 1.574
Tb 3.146 1.771 5.088
Tb 9.304 1.771 2.559
Tb 8.401 1.771 6.073
Tb 12.424 0.000 1.574
Tb 11.521 0.000 5.088
Nd -2.150 1.771 3.823
Nd 6.225 0.000 3.823
Dy -2.820 1.771 7.111
Dy 6.895 0.000 0.535
Dy 5.555 0.000 7.111
Dy 15.270 1.771 0.535
```

D(E_F)	20.2	states/eV per cell
crystal system	monoclinic
excess energy over the best structure of this formula in the dataset	0.0	meV/atom
SG	C2/m
uncorrected energy	-4.608	eV per atom

=====

(11)
First-principles (PBE) data for a relaxed structure of NaVI2N, as listed in the Alexandria database.

extended XYZ file:
```
5
Lattice="5.735 0.000 0.000 0.000 5.735 0.000 0.000 0.000 3.736" Properties=species:S:1:pos:R:3 pbc="T T T"
Na 0.000 0.000 0.000
V 2.867 2.867 1.868
I 0.000 2.867 1.868
I 2.867 0.000 1.868
N 2.867 2.867 0.000
```

D(E_F)	0.4	states/eV per cell
crystal system	tetragonal
excess energy over the best structure of this formula in the dataset	0.0	meV/atom
SG	P4/mmm
uncorrected energy	-4.773	eV per atom

=====

(12)
First-principles (PBE) data for a relaxed structure of Li2Ca3Mg4, as listed in the Alexandria database.

extended XYZ file:
```
9
Lattice="5.845 -2.673 0.000 5.845 2.673 0.000 -1.861 0.000 7.996" Properties=species:S:1:pos:R:3 pbc="T T T"
Li 2.168 0.000 2.636
Li 7.662 0.000 5.360
Ca 0.000 0.000 0.000
Ca 3.812 0.000 5.417
Ca 6.018 0.000 2.579
Mg 0.244 0.000 5.120
Mg 3.623 0.000 0.093
Mg 6.207 0.000 7.903
Mg 9.586 0.000 2.876
```

D(E_F)	6.2	states/eV per cell
crystal system	monoclinic
SG	C2/m
uncorrected energy	-1.827	eV per atom

=====

(13)
First-principles (PBE) data for a relaxed structure of CsNbPS2, as listed in the Alexandria database.

extended XYZ file:
```
5
Lattice="5.201 0.000 0.000 0.000 5.201 0.000 0.000 0.000 5.534" Properties=species:S:1:pos:R:3 pbc="T T T"
Cs 0.000 0.000 0.000
Nb 2.600 2.600 2.767
P 0.000 0.000 2.767
S 0.000 2.600 0.000
S 2.600 0.000 0.000
```

D(E_F)	4.9	states/eV per cell
crystal system	tetragonal
excess energy over the best structure of this formula in the dataset	2526.6	meV/atom
SG	P4/mmm
uncorrected energy	-2.958	eV per atom

=====

(14)
First-principles (PBE) data for a relaxed structure of CaTl2In, as listed in the Alexandria database.

extended XYZ file:
```
8
Lattice="4.800 0.000 0.000 0.000 4.800 0.000 0.000 0.000 9.867" Properties=species:S:1:pos:R:3 pbc="T T T"
Ca 0.000 0.000 0.000
Ca 2.400 2.400 4.933
Tl 0.000 0.000 4.933
Tl 0.000 2.400 2.467
Tl 2.400 0.000 7.400
Tl 2.400 2.400 0.000
In 0.000 2.400 7.400
In 2.400 0.000 2.467
```

D(E_F)	4.6	states/eV per cell
crystal system	tetragonal
SG	I-4m2
uncorrected energy	-2.602	eV per atom

=====

(15)
First-principles (PBE) data for a relaxed structure of MgSbAu3, as listed in the Alexandria database.

extended XYZ file:
```
5
Lattice="5.236 0.000 0.000 0.000 5.236 0.000 0.000 0.000 5.236" Properties=species:S:1:pos:R:3 pbc="T T T"
Mg 0.000 0.000 0.000
Sb 2.618 2.618 2.618
Au 0.000 2.618 2.618
Au 2.618 0.000 2.618
Au 2.618 2.618 0.000
```

D(E_F)	2.0	states/eV per cell
crystal system	cubic
excess energy over the best structure of this formula in the dataset	0.0	meV/atom
SG	Pm-3m
uncorrected energy	-2.797	eV per atom

=====

(16)
First-principles (PBE) data for a relaxed structure of Sr2IrW, as listed in the Alexandria database.

extended XYZ file:
```
16
Lattice="7.103 0.000 0.000 0.000 7.103 0.000 0.000 0.000 7.103" Properties=species:S:1:pos:R:3 pbc="T T T"
Sr 0.000 0.000 0.000
Sr 0.000 3.551 3.551
Sr 1.776 1.776 1.776
Sr 1.776 5.327 5.327
Sr 3.551 0.000 3.551
Sr 3.551 3.551 0.000
Sr 5.327 1.776 5.327
Sr 5.327 5.327 1.776
Ir 0.000 0.000 3.551
Ir 0.000 3.551 0.000
Ir 3.551 0.000 0.000
Ir 3.551 3.551 3.551
W 1.776 1.776 5.327
W 1.776 5.327 1.776
W 5.327 1.776 1.776
W 5.327 5.327 5.327
```

D(E_F)	18.4	states/eV per cell
crystal system	cubic
excess energy over the best structure of this formula in the dataset	650.4	meV/atom
SG	F-43m
uncorrected energy	-5.310	eV per atom

=====

(17)
First-principles (PBE) data for a relaxed structure of Tl17Cd11Sn, as listed in the Alexandria database.

extended XYZ file:
```
29
Lattice="5.887 -8.554 0.000 5.887 8.554 0.000 -5.806 0.000 8.123" Properties=species:S:1:pos:R:3 pbc="T T T"
Tl 0.000 0.000 0.000
Tl 1.765 5.590 2.935
Tl 2.073 3.354 0.368
Tl -2.094 0.000 2.983
Tl -0.355 2.794 7.887
Tl 2.112 3.419 5.519
Tl 3.301 0.000 0.712
Tl -0.011 0.000 5.911
Tl 4.271 2.578 2.957
Tl 2.073 -3.354 0.368
Tl 3.331 0.000 5.162
Tl -0.355 -2.794 7.887
Tl 1.765 -5.590 2.935
Tl 5.453 2.705 6.187
Tl 4.271 -2.578 2.957
Tl 2.112 -3.419 5.519
Tl 5.453 -2.705 6.187
Cd -3.136 1.559 5.918
Cd -0.977 3.085 4.531
Cd 4.859 5.501 1.486
Cd -3.136 -1.559 5.918
Cd 1.156 1.500 2.955
Cd 1.156 -1.500 2.955
Cd -0.977 -3.085 4.531
Cd 2.840 1.587 8.079
Cd 6.448 0.000 4.446
Cd 4.859 -5.501 1.486
Cd 2.840 -1.587 8.079
Sn 6.434 0.000 1.406
```

D(E_F)	11.8	states/eV per cell
crystal system	monoclinic
SG	Cm
uncorrected energy	-1.849	eV per atom

=====

(18)
First-principles (PBE) data for a relaxed structure of CaTeCl6, as listed in the Alexandria database.

extended XYZ file:
```
16
Lattice="6.664 0.000 0.000 0.000 12.692 0.000 -1.909 0.000 6.370" Properties=species:S:1:pos:R:3 pbc="T T T"
Ca 0.000 0.000 0.000
Ca 3.332 6.346 0.000
Te -0.954 6.346 3.185
Te 2.378 0.000 3.185
Cl 0.145 4.563 4.687
Cl 0.145 8.129 4.687
Cl 1.107 6.346 1.680
Cl 0.316 0.000 4.690
Cl 1.278 1.783 1.683
Cl 1.278 10.909 1.683
Cl 3.477 1.783 4.687
Cl 3.477 10.909 4.687
Cl 4.439 0.000 1.680
Cl 3.648 6.346 4.690
Cl 4.610 4.563 1.683
Cl 4.610 8.129 1.683
```

D(E_F)	0.0	states/eV per cell
crystal system	monoclinic
excess energy over the best structure of this formula in the dataset	0.0	meV/atom
SG	C2/m
uncorrected energy	-3.250	eV per atom

=====

(19)
First-principles (PBE) data for a relaxed structure of BaBiAs3, as listed in the Alexandria database.

extended XYZ file:
```
5
Lattice="5.517 0.000 0.000 0.000 5.517 0.000 0.000 0.000 5.517" Properties=species:S:1:pos:R:3 pbc="T T T"
Ba 0.000 0.000 0.000
Bi 2.758 2.758 2.758
As 0.000 2.758 2.758
As 2.758 0.000 2.758
As 2.758 2.758 0.000
```

D(E_F)	6.0	states/eV per cell
crystal system	cubic
excess energy over the best structure of this formula in the dataset	0.0	meV/atom
SG	Pm-3m
uncorrected energy	-3.813	eV per atom

=====

(20)
First-principles (PBE) data for a relaxed structure of CaCuAu2, as listed in the Alexandria database.

extended XYZ file:
```
32
Lattice="15.426 0.000 0.000 0.000 7.471 0.000 0.000 0.000 5.477" Properties=species:S:1:pos:R:3 pbc="T T T"
Ca 1.670 1.868 1.307
Ca 2.171 5.603 2.574
Ca 5.542 1.868 5.312
Ca 6.043 5.603 4.046
Ca 9.383 1.868 1.432
Ca 9.884 5.603 0.165
Ca 13.255 1.868 2.904
Ca 13.756 5.603 4.170
Cu 1.051 5.603 5.338
Cu 2.832 1.868 3.986
Cu 4.881 5.603 1.247
Cu 6.662 1.868 2.599
Cu 8.764 5.603 2.878
Cu 10.545 1.868 4.230
Cu 12.594 5.603 1.492
Cu 14.375 1.868 0.140
Au 0.546 0.410 4.036
Au 0.546 3.325 4.036
Au 3.293 4.138 5.206
Au 3.293 7.068 5.206
Au 4.420 0.403 2.468
Au 4.420 3.333 2.468
Au 7.168 4.146 1.297
Au 7.168 7.061 1.297
Au 8.259 0.410 4.180
Au 8.259 3.325 4.180
Au 11.006 4.138 3.010
Au 11.006 7.068 3.010
Au 12.133 0.403 0.271
Au 12.133 3.333 0.271
Au 14.881 4.146 1.442
Au 14.881 7.061 1.442
```

D(E_F)	12.1	states/eV per cell
crystal system	orthorhombic
excess energy over the best structure of this formula in the dataset	0.0	meV/atom
SG	Pnma
uncorrected energy	-3.669	eV per atom

=====

(21)
First-principles (PBE) data for a relaxed structure of Li6AcBi4, as listed in the Alexandria database.

extended XYZ file:
```
11
Lattice="8.204 0.000 0.000 -4.102 7.105 0.000 0.000 0.000 4.627" Properties=species:S:1:pos:R:3 pbc="T T T"
Li 0.000 2.840 0.000
Li -1.643 5.685 0.000
Li 1.459 0.842 2.314
Li 1.643 5.685 0.000
Li 6.745 0.842 2.314
Li 4.102 5.420 2.314
Ac 4.102 2.368 0.000
Bi 0.000 0.000 0.000
Bi -1.810 3.692 2.314
Bi 1.810 3.692 2.314
Bi 0.000 6.826 2.314
```

D(E_F)	5.8	states/eV per cell
crystal system	hexagonal
SG	P-6m2
uncorrected energy	-3.327	eV per atom

=====

(22)
First-principles (PBE) data for a relaxed structure of Pr5Bi3, as listed in the Alexandria database.

extended XYZ file:
```
16
Lattice="9.601 0.000 0.000 -4.801 8.315 0.000 0.000 0.000 6.651" Properties=species:S:1:pos:R:3 pbc="T T T"
Pr -1.190 2.061 1.663
Pr -3.611 6.254 4.988
Pr 2.380 0.000 1.663
Pr 1.190 2.061 4.988
Pr 0.000 5.543 0.000
Pr 0.000 5.543 3.325
Pr 4.801 2.772 0.000
Pr 4.801 2.772 3.325
Pr 7.221 0.000 4.988
Pr 3.611 6.254 1.663
Bi -1.857 3.216 4.988
Bi -2.944 5.099 1.663
Bi 3.714 0.000 4.988
Bi 1.857 3.216 1.663
Bi 5.887 0.000 1.663
Bi 2.944 5.099 4.988
```

D(E_F)	17.0	states/eV per cell
crystal system	hexagonal
SG	P6_3/mcm
uncorrected energy	-5.227	eV per atom